# Sr3GaHg

A relaxed structure of Sr3GaHg (PBE, Alexandria via LeMat-Bulk).

Cell lengths 6.1724, 6.1724, 6.1724 Å; angles 90.00, 90.00, 90.00 degrees
Last column: nearest neighbours and their distance in Å.
Element x y z (fractional)
Sr (0.0000, 0.0000, 0.5000)  2 Ga 3.09
Sr (0.0000, 0.5000, 0.0000)  2 Ga 3.09
Sr (0.5000, 0.0000, 0.0000)  2 Ga 3.09
Ga (0.0000, 0.0000, 0.0000)  6 Sr 3.09
Hg (0.5000, 0.5000, 0.5000)  12 Sr 4.36

Summary:
Polymorph energy (0 for the lowest one): 297 meV/atom
E_form: -41 kJ/mol of formula units
SG: Pm-3m (221)
Theoretical density: 3.8 g/cm³